K3HfAs2O8 after structural relaxation. Source: the Alexandria database, functional PBE.

Unit cell a=5.894 b=5.894 c=7.782 alpha=90.00 beta=90.00 gamma=120.00
Fractional positions:
K  0.333  0.667  0.727
K  0.667  0.333  0.273
K  0.000  0.000  0.000
Hf  0.000  0.000  0.500
As  0.333  0.667  0.270
As  0.667  0.333  0.730
O  0.333  0.667  0.053
O  0.667  0.333  0.947
O  0.164  0.836  0.340
O  0.836  0.164  0.660
O  0.164  0.329  0.340
O  0.836  0.671  0.660
O  0.671  0.836  0.340
O  0.329  0.164  0.660

**Formation energy (no corrections)**: -1.889 eV/atom
**Total energy**: -88.66 eV/cell
**Theoretical density**: 4.07 g/cm3